This record from the Alexandria database describes a relaxed Li7W5O16 crystal. The functional is PBE+U.

Values from the calculation:
ρ (g cm⁻³): 6.425
E (eV/cell): -186.799

abc: 6.0396 6.0782 9.8163
angles: 89.91 89.92 61.38
With the nearest neighbours (Å) after each atom.
Space group P1 (No. 1)
Symmetry-distinct sites (fractional):
Li 0.0000 0.0000 0.0000 (multiplicity 1)  4 O 2.00-2.13
Li 0.0109 0.4742 0.1898 (multiplicity 1)  4 O 1.96-2.02
Li 0.1899 0.6315 0.5114 (multiplicity 1)  5 O 2.00-2.19
Li 0.2754 0.7538 0.2563 (multiplicity 1)  3 O 1.86-2.05
Li 0.3388 0.8012 0.7891 (multiplicity 1)  3 O 1.86-2.06
Li 0.5210 0.4610 0.9968 (multiplicity 1)  6 O 2.02-2.24
Li 0.6878 0.1209 0.6990 (multiplicity 1)  4 O 1.95-2.13
W 0.0173 0.4719 0.7842 (multiplicity 1)  3 O 1.80-1.92
W 0.1911 0.1410 0.4998 (multiplicity 1)  6 O 1.96-2.12
W 0.5218 0.9741 0.0131 (multiplicity 1)  4 O 1.88-2.03
W 0.6875 0.1659 0.2663 (multiplicity 1)  2 O 1.83-2.04
W 0.6915 0.6358 0.5000 (multiplicity 1)  6 O 2.03-2.18
O 0.0145 0.0066 0.3884 (multiplicity 1)  2 W 1.96-2.11, 1 Li 2.05
O 0.0210 0.4665 0.3941 (multiplicity 1)  2 Li 2.01-2.09, 2 W 2.02-2.03
O 0.1816 0.1534 0.8748 (multiplicity 1)  1 W 1.92, 2 Li 2.06-2.13
O 0.1845 0.6145 0.8641 (multiplicity 1)  1 W 1.80, 1 Li 1.92
O 0.3046 0.3034 0.6344 (multiplicity 1)  2 W 1.96-2.13, 2 Li 2.13-2.14
O 0.3472 0.8085 0.0790 (multiplicity 1)  3 Li 1.86-2.02, 1 W 1.89
O 0.3553 0.8101 0.6003 (multiplicity 1)  2 Li 1.86-2.00, 2 W 2.02-2.04
O 0.3810 0.2706 0.1423 (multiplicity 1)  2 Li 2.02-2.24, 2 W 2.03-2.05
O 0.5172 0.4900 0.3755 (multiplicity 1)  2 Li 1.96-2.19, 2 W 2.04-2.07
O 0.5225 0.9972 0.3972 (multiplicity 1)  3 W 2.03-2.18
O 0.6694 0.1143 0.8974 (multiplicity 1)  1 W 1.88, 3 Li 1.95-2.10
O 0.7061 0.6304 0.8796 (multiplicity 1)  1 W 1.90
O 0.8080 0.8441 0.1495 (multiplicity 1)  1 Li 2.02, 2 W 2.02-2.08
O 0.8321 0.2868 0.1448 (multiplicity 1)  1 W 1.83, 1 Li 1.96
O 0.8690 0.7460 0.6407 (multiplicity 1)  2 W 2.03-2.05, 2 Li 2.08-2.13
O 0.8740 0.3111 0.6310 (multiplicity 1)  1 Li 2.07, 3 W 2.12-2.19